No. 1
! PBE-GGA Tm7CdCo2, relaxed; values from VASP
&SYSTEM
  ibrav = 0, nat = 10, ntyp = 3
/
ATOMIC_SPECIES
Tm 168.93 Tm.upf
Cd 112.41 Cd.upf
Co 58.93 Co.upf
CELL_PARAMETERS angstrom
4.376 -6.599 0.000
4.376 6.599 0.000
0.000 0.000 4.893
ATOMIC_POSITIONS crystal
Tm 0.000 0.000 0.000
Tm 0.181 0.448 0.000
Tm 0.205 0.795 0.500
Tm 0.448 0.181 0.000
Tm 0.552 0.819 0.000
Tm 0.795 0.205 0.500
Tm 0.819 0.552 0.000
Cd 0.500 0.500 0.500
Co 0.203 0.797 0.000
Co 0.797 0.203 0.000
! ΔE_f = -14 meV/atom
! crystal system = orthorhombic
! calculated volume = 282.6 Å³ per cell

---

No. 2
! PBE-GGA Tm6Cd2Co, relaxed; values from VASP
&SYSTEM
  ibrav = 0, nat = 18, ntyp = 3
/
ATOMIC_SPECIES
Tm 168.93 Tm.upf
Cd 112.41 Cd.upf
Co 58.93 Co.upf
CELL_PARAMETERS angstrom
7.130 0.000 0.000
0.000 7.038 0.000
-7.016 0.000 9.641
ATOMIC_POSITIONS crystal
Tm 0.185 0.000 0.254
Tm 0.185 0.500 0.754
Tm 0.289 0.248 0.539
Tm 0.289 0.252 0.039
Tm 0.291 0.750 0.039
Tm 0.291 0.750 0.539
Tm 0.709 0.250 0.461
Tm 0.709 0.250 0.961
Tm 0.711 0.748 0.961
Tm 0.711 0.752 0.461
Tm 0.815 0.000 0.746
Tm 0.815 0.500 0.246
Cd 0.253 0.501 0.255
Cd 0.253 0.999 0.755
Cd 0.747 0.001 0.245
Cd 0.747 0.499 0.745
Co 0.000 0.000 0.000
Co 0.000 0.500 0.500
! excess energy over the best structure of this formula in the dataset = 36.7 meV/atom
! ΔE_f = -151 meV/atom
! crystal system = monoclinic
! calculated volume = 483.9 Å³ per cell

---

No. 3
! PBE-GGA YTmCdCo, relaxed; values from VASP
&SYSTEM
  ibrav = 0, nat = 4, ntyp = 4
/
ATOMIC_SPECIES
Y 88.91 Y.upf
Tm 168.93 Tm.upf
Cd 112.41 Cd.upf
Co 58.93 Co.upf
CELL_PARAMETERS angstrom
0.000 3.538 3.538
3.538 0.000 3.538
3.538 3.538 0.000
ATOMIC_POSITIONS crystal
Y 0.000 0.000 0.000
Tm 0.500 0.500 0.500
Cd 0.750 0.750 0.750
Co 0.250 0.250 0.250
! excess energy over the best structure of this formula in the dataset = 117.0 meV/atom
! ΔE_f = -158 meV/atom
! crystal system = cubic
! calculated volume = 88.6 Å³ per cell

---

No. 4
! PBE-GGA YTmCdCo, relaxed; values from VASP
&SYSTEM
  ibrav = 0, nat = 4, ntyp = 4
/
ATOMIC_SPECIES
Y 88.91 Y.upf
Tm 168.93 Tm.upf
Cd 112.41 Cd.upf
Co 58.93 Co.upf
CELL_PARAMETERS angstrom
3.408 0.000 0.000
0.000 3.408 0.000
0.000 0.000 7.595
ATOMIC_POSITIONS crystal
Y 0.000 0.000 0.000
Tm 0.000 0.000 0.574
Cd 0.500 0.500 0.293
Co 0.500 0.500 0.779
! excess energy over the best structure of this formula in the dataset = 0.0 meV/atom
! ΔE_f = -275 meV/atom
! crystal system = tetragonal
! calculated volume = 88.2 Å³ per cell

---

No. 5
! PBE-GGA TmZnCdCo, relaxed; values from VASP
&SYSTEM
  ibrav = 0, nat = 4, ntyp = 4
/
ATOMIC_SPECIES
Tm 168.93 Tm.upf
Zn 65.41 Zn.upf
Cd 112.41 Cd.upf
Co 58.93 Co.upf
CELL_PARAMETERS angstrom
0.000 3.303 3.303
3.303 0.000 3.303
3.303 3.303 0.000
ATOMIC_POSITIONS crystal
Tm 0.000 0.000 0.000
Zn 0.750 0.750 0.750
Cd 0.500 0.500 0.500
Co 0.250 0.250 0.250
! ΔE_f = -58 meV/atom
! crystal system = cubic
! calculated volume = 72.1 Å³ per cell

---

No. 6
! PBE-GGA VCdCo2, relaxed; values from VASP
&SYSTEM
  ibrav = 0, nat = 8, ntyp = 3
/
ATOMIC_SPECIES
V 50.94 V.upf
Cd 112.41 Cd.upf
Co 58.93 Co.upf
CELL_PARAMETERS angstrom
-3.285 3.285 2.708
3.285 -3.285 2.708
3.285 3.285 -2.708
ATOMIC_POSITIONS crystal
V 0.000 0.000 0.000
V 0.750 0.250 0.500
Cd 0.250 0.750 0.500
Cd 0.500 0.500 0.000
Co 0.075 0.625 0.950
Co 0.375 0.325 0.450
Co 0.675 0.125 0.050
Co 0.875 0.925 0.550
! ΔE_f = 474 meV/atom
! crystal system = tetragonal
! calculated volume = 116.9 Å³ per cell

---

No. 7
! PBE-GGA V2CdCo, relaxed; values from VASP
&SYSTEM
  ibrav = 0, nat = 8, ntyp = 3
/
ATOMIC_SPECIES
V 50.94 V.upf
Cd 112.41 Cd.upf
Co 58.93 Co.upf
CELL_PARAMETERS angstrom
-1.802 1.802 9.340
1.802 -1.802 9.340
1.802 1.802 -9.340
ATOMIC_POSITIONS crystal
V 0.106 0.625 0.981
V 0.375 0.356 0.481
V 0.644 0.125 0.019
V 0.875 0.894 0.519
Cd 0.250 0.750 0.500
Cd 0.500 0.500 0.000
Co 0.000 0.000 0.000
Co 0.750 0.250 0.500
! ΔE_f = 715 meV/atom
! crystal system = tetragonal
! calculated volume = 121.3 Å³ per cell

---

No. 8
! PBE-GGA VCdCo2, relaxed; values from VASP
&SYSTEM
  ibrav = 0, nat = 4, ntyp = 3
/
ATOMIC_SPECIES
V 50.94 V.upf
Cd 112.41 Cd.upf
Co 58.93 Co.upf
CELL_PARAMETERS angstrom
2.895 0.000 0.000
0.000 2.895 0.000
0.000 0.000 6.457
ATOMIC_POSITIONS crystal
V 0.000 0.000 0.000
Cd 0.000 0.000 0.500
Co 0.500 0.500 0.200
Co 0.500 0.500 0.800
! ΔE_f = 6 meV/atom
! crystal system = tetragonal
! calculated volume = 54.1 Å³ per cell

---

Which of these has the lowest calculated volume?
number 8